MgV4O9 after structural relaxation, computed with PBE+U.

## Properties
As for the volume: 341 Å³ per cell. As for the calculated density: 3.63 g cm⁻³. The total energy is -7.46 eV per atom.

Cell lengths 4.9390, 8.3072, 8.3072 Å; angles 90.00, 90.00, 90.00 degrees
Last column: nearest neighbours and their distance in Å.
Fractional coordinates of all 28 atoms:
1 Mg 0.1703 0.2500 0.2500  8 O 2.26-2.36
2 Mg 0.8297 0.7500 0.7500  8 O 2.26-2.36
3 V 0.6368 0.5331 0.3405  1 O 1.66
4 V 0.3632 0.8405 0.4669  1 O 1.66
5 V 0.6368 0.3405 0.9669  1 O 1.66
6 V 0.3632 0.0331 0.8405  1 O 1.66
7 V 0.6368 0.9669 0.1595  1 O 1.66
8 V 0.6368 0.1595 0.5331  1 O 1.66
9 V 0.3632 0.4669 0.6595  1 O 1.66
10 V 0.3632 0.6595 0.0331  1 O 1.66
11 O 0.5000 0.7500 0.2500  4 V 2.07
12 O 0.5000 0.2500 0.7500  4 V 2.07
13 O 0.0416 0.6854 0.9829  1 V 1.66
14 O 0.0416 0.5171 0.6854  1 V 1.66
15 O 0.0416 0.9829 0.8146  1 V 1.66
16 O 0.0416 0.8146 0.5171  1 V 1.66
17 O 0.9584 0.3146 0.0171  1 V 1.66
18 O 0.9584 0.4829 0.3146  1 V 1.66
19 O 0.9584 0.0171 0.1854  1 V 1.66
20 O 0.9584 0.1854 0.4829  1 V 1.66
21 O 0.4542 0.0467 0.3556  3 V 1.97-2.00
22 O 0.4542 0.1444 0.0467  3 V 1.97-2.00
23 O 0.4542 0.3556 0.4533  3 V 1.97-2.00
24 O 0.4542 0.4533 0.1444  3 V 1.97-2.00
25 O 0.5458 0.5467 0.8556  3 V 1.97-2.00
26 O 0.5458 0.8556 0.9533  3 V 1.97-2.00
27 O 0.5458 0.6444 0.5467  3 V 1.97-2.00
28 O 0.5458 0.9533 0.6444  3 V 1.97-2.00